Entry 1:
Compound: TbPr6YEr2
Source: Alexandria
Functional: PBE
Structure: relaxed

```
TbPr6YEr2
1.0
4.657 -7.703 0.000
4.657 7.703 0.000
-1.338 0.000 9.652
Tb Pr Y Er
2 12 2 4
direct
0.029 0.971 0.750 Tb
0.971 0.029 0.250 Tb
0.010 0.563 0.686 Pr
0.113 0.762 0.054 Pr
0.238 0.887 0.446 Pr
0.295 0.510 0.881 Pr
0.437 0.990 0.814 Pr
0.490 0.705 0.619 Pr
0.510 0.295 0.381 Pr
0.563 0.010 0.186 Pr
0.705 0.490 0.119 Pr
0.762 0.113 0.554 Pr
0.887 0.238 0.946 Pr
0.990 0.437 0.314 Pr
0.410 0.590 0.250 Y
0.590 0.410 0.750 Y
0.200 0.295 0.546 Er
0.295 0.200 0.046 Er
0.705 0.800 0.954 Er
0.800 0.705 0.454 Er
```

Formation energy from the elements   0.113 eV/atom
Calculated total energy   -0.351 Ry per atom

Entry 2:
Compound: ReTe2Se
Source: Alexandria
Functional: PBE
Structure: relaxed

```
ReTe2Se
1.0
6.939 0.000 0.000
0.000 6.939 0.000
0.000 0.000 10.035
Re Te Se
4 8 4
direct
0.000 0.000 0.000 Re
0.000 0.500 0.250 Re
0.500 0.000 0.750 Re
0.500 0.500 0.500 Re
0.200 0.250 0.125 Te
0.250 0.700 0.375 Te
0.250 0.800 0.875 Te
0.300 0.250 0.625 Te
0.700 0.750 0.625 Te
0.750 0.200 0.875 Te
0.750 0.300 0.375 Te
0.800 0.750 0.125 Te
0.000 0.000 0.500 Se
0.000 0.500 0.750 Se
0.500 0.000 0.250 Se
0.500 0.500 0.000 Se
```

Calculated total energy   -0.363 Ry per atom
Raw formation energy   620 meV per atom

Entry 3:
Compound: CaMgCd2
Source: Alexandria
Functional: PBE
Structure: relaxed

```
CaMgCd2
1.0
4.128 0.000 0.000
0.000 5.086 0.000
0.000 0.000 9.747
Ca Mg Cd
2 2 4
direct
0.000 0.000 0.000 Ca
0.500 0.500 0.500 Ca
0.000 0.500 0.229 Mg
0.500 0.000 0.729 Mg
0.000 0.000 0.491 Cd
0.000 0.500 0.761 Cd
0.500 0.000 0.261 Cd
0.500 0.500 0.991 Cd
```

Formation energy from the elements   -0.174 eV/atom
Calculated total energy   -0.112 Ry per atom

Entry 4:
Compound: AcLa4Hg
Source: Alexandria
Functional: PBE
Structure: relaxed

```
AcLa4Hg
1.0
6.762 0.000 0.000
-0.007 6.999 0.000
-3.365 -1.989 9.534
Ac La Hg
2 8 2
direct
0.073 0.250 0.000 Ac
0.927 0.750 0.000 Ac
0.027 0.066 0.336 La
0.293 0.520 0.823 La
0.310 0.566 0.337 La
0.470 0.979 0.176 La
0.530 0.021 0.824 La
0.690 0.434 0.663 La
0.707 0.480 0.177 La
0.973 0.934 0.664 La
0.000 0.500 0.500 Hg
0.500 0.000 0.500 Hg
```

Formation energy from the elements   0.001 eV/atom
Calculated total energy   -0.295 Ry per atom

Entry 5:
Compound: Ho2CuBr
Source: Alexandria
Functional: PBE
Structure: relaxed

```
Ho2CuBr
1.0
3.980 0.000 0.000
-1.990 3.447 0.000
0.000 0.000 22.076
Ho Cu Br
6 3 3
direct
0.000 0.000 0.236 Ho
0.000 0.000 0.764 Ho
0.333 0.667 0.431 Ho
0.333 0.667 0.902 Ho
0.667 0.333 0.098 Ho
0.667 0.333 0.569 Ho
0.000 0.000 0.500 Cu
0.333 0.667 0.167 Cu
0.667 0.333 0.833 Cu
0.000 0.000 0.000 Br
0.333 0.667 0.667 Br
0.667 0.333 0.333 Br
```

Calculated total energy   -0.319 Ry per atom
Raw formation energy   -616 meV per atom

Entry 6:
Compound: Li2SnSb
Source: Alexandria
Functional: PBE
Structure: relaxed

```
Li2SnSb
1.0
4.423 0.000 0.000
0.000 4.423 0.000
0.000 0.000 19.253
Li Sn Sb
8 4 4
direct
0.248 0.250 0.125 Li
0.250 0.748 0.375 Li
0.250 0.752 0.875 Li
0.252 0.250 0.625 Li
0.748 0.750 0.625 Li
0.750 0.248 0.875 Li
0.750 0.252 0.375 Li
0.752 0.750 0.125 Li
0.000 0.000 0.500 Sn
0.000 0.500 0.750 Sn
0.500 0.000 0.250 Sn
0.500 0.500 0.000 Sn
0.000 0.000 0.000 Sb
0.000 0.500 0.250 Sb
0.500 0.000 0.750 Sb
0.500 0.500 0.500 Sb
```

Calculated total energy   -0.238 Ry per atom
Raw formation energy   -245 meV per atom

| no. | total magnetization (μB per atom) |
| --- | --- |
| 1 | 0.000 |
| 2 | 0.000 |
| 3 | 0.000 |
| 4 | 0.000 |
| 5 | 0.000 |
| 6 | 0.000 |